Entry 1:
Density functional theory data (PBE) for crystalline LiTaMo2 at its relaxed geometry.

a = 2.7805 Å, b = 2.7805 Å, c = 30.0825 Å
α = 90.00°, β = 90.00°, γ = 120.00°
Space group R-3m (No. 166, hexagonal axes)
Asymmetric unit:
Li (0.0000, 0.0000, 0.0000)
Ta (0.0000, 0.0000, 0.5000)
Mo (0.0000, 0.0000, 0.2506)

**Energy of formation from the pure elements**: 0.42 eV/atom
**Density of states at the Fermi level**: 13.21 states/eV per cell

---

Entry 2:
Density functional theory data (PBE) for crystalline LiTaTe2Mo at its relaxed geometry.

a = 4.7806 Å, b = 4.7806 Å, c = 4.4204 Å
α = 90.00°, β = 90.00°, γ = 90.00°
Space group P4/mmm (No. 123)
Asymmetric unit:
Li (0.0000, 0.0000, 0.0000)
Ta (0.0000, 0.0000, 0.5000)
Te (0.0000, 0.5000, 0.0000)
Mo (0.5000, 0.5000, 0.5000)

**Uncorrected formation energy**: 1152 meV per atom
**Density of states at the Fermi level**: 3.53 states/eV per cell

---

Entry 3:
Density functional theory data (PBE) for crystalline LiTa2TlMo at its relaxed geometry.

a = 4.8370 Å, b = 4.8370 Å, c = 5.4368 Å
α = 90.00°, β = 90.00°, γ = 90.00°
Space group P4/mmm (No. 123)
Asymmetric unit:
Li (0.0000, 0.0000, 0.0000)
Ta (0.0000, 0.5000, 0.5000)
Tl (0.5000, 0.5000, 0.0000)
Mo (0.5000, 0.5000, 0.5000)

**Energy of formation from the pure elements**: 1.22 eV/atom
**Density of states at the Fermi level**: 5.20 states/eV per cell